Record 1
A geometry-optimized PuGe4IrRh2 structure, computed with PBE.

Results
* calculated formation energy: -0.397 eV/atom

abc: 4.283 4.283 8.859
angles: 76.01 76.01 60.00
Each line ends with the local moment (μB).
Positions (direct):
Ge1 0.126 0.126 0.622  0.00
Ge2 0.874 0.874 0.378  0.00
Ge3 0.606 0.606 0.182  0.01
Ge4 0.394 0.394 0.818  0.01
Ir1 0.500 0.500 0.500  -0.01
Rh1 0.770 0.770 0.691  -0.03
Rh2 0.230 0.230 0.309  -0.03
Pu1 0.000 0.000 0.000  5.19

***

Record 2
A geometry-optimized Pu2Ge4Ir3Ru structure, computed with PBE.

Results
* calculated formation energy: -0.542 eV/atom

abc: 4.279 4.279 10.001
angles: 90.00 90.00 90.00
Each line ends with the local moment (μB).
Positions (direct):
Ge1 0.000 0.500 0.373  -0.01
Ge2 0.000 0.000 0.000  -0.01
Ge3 0.500 0.500 0.000  -0.01
Ge4 0.500 0.000 0.627  -0.01
Ir1 0.500 0.000 0.872  -0.07
Ir2 0.000 0.000 0.500  -0.05
Ir3 0.000 0.500 0.128  -0.07
Pu1 0.500 0.000 0.252  5.13
Pu2 0.000 0.500 0.748  5.13
Ru1 0.500 0.500 0.500  -0.13

***

Record 3
A geometry-optimized Pu2Ge6IrRu structure, computed with PBE.

Results
* calculated formation energy: -0.201 eV/atom

abc: 6.046 6.046 13.365
angles: 76.93 76.93 60.00
Each line ends with the local moment (μB).
Positions (direct):
Ru1 0.500 0.500 0.500  0.25
Ru2 0.000 0.000 0.000  -0.23
Ge1 0.074 0.658 0.611  -0.01
Ge2 0.342 0.926 0.389  -0.01
Ge3 0.658 0.074 0.611  -0.01
Ge4 0.658 0.658 0.611  -0.01
Ge5 0.197 0.197 0.846  -0.03
Ge6 0.803 0.803 0.154  -0.03
Ge7 0.926 0.342 0.389  -0.01
Ge8 0.197 0.760 0.846  -0.03
Ge9 0.240 0.803 0.154  -0.03
Ge10 0.803 0.240 0.154  -0.03
Ge11 0.342 0.342 0.389  -0.01
Ge12 0.760 0.197 0.846  -0.03
Pu1 0.278 0.278 0.166  5.33
Pu2 0.123 0.123 0.630  5.26
Pu3 0.722 0.722 0.834  5.33
Pu4 0.877 0.877 0.370  5.26
Ir1 0.576 0.576 0.272  0.06
Ir2 0.424 0.424 0.728  0.06

***

Record 4
A geometry-optimized Pu2Ge3SbIr4 structure, computed with PBE.

Results
* energy relative to the elements, uncorrected: -0.498 eV/atom

abc: 4.272 4.272 10.465
angles: 90.00 90.00 90.00
Each line ends with the local moment (μB).
Positions (direct):
Sb1 0.500 0.500 0.500  -0.02
Pu1 0.000 0.500 0.757  5.15
Pu2 0.500 0.000 0.243  5.15
Ge1 0.000 0.500 0.128  -0.02
Ge2 0.500 0.000 0.872  -0.02
Ge3 0.000 0.000 0.500  -0.01
Ir1 0.000 0.500 0.361  -0.14
Ir2 0.000 0.000 0.000  -0.05
Ir3 0.500 0.000 0.639  -0.14
Ir4 0.500 0.500 0.000  -0.05

***

Record 5
A geometry-optimized Pu2Si3GeIr4 structure, computed with PBE.

Results
* energy relative to the elements, uncorrected: -0.784 eV/atom

abc: 4.165 4.165 9.980
angles: 90.00 90.00 90.00
Each line ends with the local moment (μB).
Positions (direct):
Si1 0.000 0.000 0.500  -0.01
Si2 0.000 0.500 0.129  -0.01
Si3 0.500 0.000 0.871  -0.01
Pu1 0.500 0.000 0.254  5.03
Pu2 0.000 0.500 0.746  5.03
Ir1 0.500 0.000 0.633  -0.09
Ir2 0.000 0.000 0.000  -0.03
Ir3 0.000 0.500 0.367  -0.09
Ir4 0.500 0.500 0.000  -0.02
Ge1 0.500 0.500 0.500  -0.01

***

Record 6
A geometry-optimized Pu2SiGe3Ir4 structure, computed with PBE.

Results
* energy relative to the elements, uncorrected: -0.625 eV/atom

abc: 4.212 4.212 10.155
angles: 90.00 90.00 90.00
Each line ends with the local moment (μB).
Positions (direct):
Ge1 0.000 0.500 0.134  -0.01
Ge2 0.500 0.000 0.866  -0.01
Ge3 0.000 0.000 0.500  -0.01
Pu1 0.500 0.000 0.256  5.10
Pu2 0.000 0.500 0.744  5.10
Ir1 0.500 0.500 0.000  -0.04
Ir2 0.000 0.500 0.376  -0.08
Ir3 0.500 0.000 0.624  -0.08
Ir4 0.000 0.000 0.000  -0.04
Si1 0.500 0.500 0.500  -0.01